This record from Alexandria via LeMat-Bulk describes crystalline CsCrHgTe3 at its relaxed geometry. The functional is PBE.

Values from the calculation:
electronic total energy = -3.766 eV per atom
magnetic moment = 2.99 μB/f.u.
formation energy from raw total energies = -230.9 kJ/mol of formula units

Unit cell a=9.522 b=4.318 c=11.086 alpha=90.00 beta=112.16 gamma=90.00
Space group P2_1/m (No. 11)
Symmetry-distinct sites (fractional):
Cs 0.229 0.250 0.266 x2
Cr 0.337 0.750 0.863 x2
Hg 0.065 0.250 0.606 x2
Te 0.146 0.250 0.875 x2
Te 0.264 0.750 0.583 x2
Te 0.472 0.750 0.128 x2